(1)
## KSr2Se2 (PBE-GGA)

Data for a relaxed KSr2Se2 crystal.

Results
Total DFT energy (no corrections) (Ry per atom): -0.2686
Energy relative to the elements, uncorrected (eV/atom): -1.37
E above lowest polymorph (kJ per mole of atoms): 2.1
Size of the total moment (Bohr magnetons per cell): 0.00

Lattice parameters (Å, degrees): 5.920 5.920 8.990 70.78 70.78 90.00
Positions (direct):
1 Sr 0.750 0.250 0.500
2 Se 0.204 0.204 0.591
3 Se 0.796 0.796 0.409
4 K 0.000 0.000 0.000
5 Sr 0.250 0.750 0.500

---

(2)
## CaLa2Tb2Cd5 (PBE-GGA)

Data for a relaxed CaLa2Tb2Cd5 crystal.

Results
Total DFT energy (no corrections) (Ry per atom): -0.2046
Energy of formation (eV/atom): -0.2139
Size of the total moment (Bohr magnetons per cell): 0.00

Lattice parameters (Å, degrees): 4.816 10.834 10.834 90.00 90.00 90.00
Positions (direct):
1 Cd 0.500 0.197 0.066
2 Cd 0.500 0.000 0.500
3 Ca 0.000 0.000 0.000
4 La 0.000 0.175 0.325
5 Cd 0.500 0.934 0.197
6 La 0.000 0.675 0.175
7 Cd 0.500 0.500 0.000
8 Cd 0.500 0.303 0.566
9 Tb 0.000 0.123 0.623
10 Ca 0.000 0.500 0.500
11 Cd 0.500 0.566 0.697
12 Cd 0.500 0.803 0.934
13 Cd 0.500 0.066 0.803
14 Tb 0.000 0.377 0.123
15 Tb 0.000 0.623 0.877
16 La 0.000 0.825 0.675
17 La 0.000 0.325 0.825
18 Tb 0.000 0.877 0.377
19 Cd 0.500 0.697 0.434
20 Cd 0.500 0.434 0.303

---

(3)
## Ho2Th2Sc5 (PBE-GGA)

Data for a relaxed Ho2Th2Sc5 crystal.

Results
Total DFT energy (no corrections) (Ry per atom): -0.4420
E above lowest polymorph (kJ per mole of atoms): 6.8
Energy of formation (eV/atom): 0.1693
Size of the total moment (Bohr magnetons per cell): 0.00

Lattice parameters (Å, degrees): 9.208 8.337 8.354 119.93 111.16 90.00
Positions (direct):
1 Sc 0.669 0.472 0.986
2 Th 0.000 0.065 0.000
3 Th 0.262 0.308 0.549
4 Sc 0.249 0.872 0.236
5 Th 0.500 0.816 0.000
6 Sc 0.089 0.657 0.741
7 Sc 0.410 0.656 0.501
8 Sc 0.331 0.486 0.014
9 Sc 0.751 0.635 0.764
10 Ho 0.616 0.058 0.835
11 Ho 0.043 0.532 0.262
12 Ho 0.384 0.223 0.165
13 Ho 0.957 0.270 0.738
14 Sc 0.911 0.916 0.259
15 Th 0.738 0.759 0.451
16 Sc 0.216 0.982 0.674
17 Sc 0.590 0.155 0.499
18 Sc 0.784 0.309 0.326

---

(4)
## Ti5CoPt2Rh2 (PBE-GGA)

Data for a relaxed Ti5CoPt2Rh2 crystal.

Results
Total DFT energy (no corrections) (Ry per atom): -0.5778
Energy of formation (eV/atom): -0.5253
Size of the total moment (Bohr magnetons per cell): 0.00

Lattice parameters (Å, degrees): 2.887 10.531 10.531 90.00 90.00 90.00
Positions (direct):
1 Co 0.000 0.500 0.500
2 Ti 0.500 0.131 0.850
3 Rh 0.000 0.354 0.146
4 Ti 0.500 0.869 0.150
5 Ti 0.500 0.500 0.000
6 Pt 0.000 0.653 0.153
7 Ti 0.500 0.350 0.631
8 Rh 0.000 0.146 0.646
9 Rh 0.000 0.646 0.854
10 Co 0.000 0.000 0.000
11 Pt 0.000 0.347 0.847
12 Ti 0.500 0.631 0.650
13 Ti 0.500 0.369 0.350
14 Pt 0.000 0.153 0.347
15 Ti 0.500 0.850 0.869
16 Ti 0.500 0.650 0.369
17 Rh 0.000 0.854 0.354
18 Ti 0.500 0.000 0.500
19 Ti 0.500 0.150 0.131
20 Pt 0.000 0.847 0.653

---

(5)
## Tb4Te3C (PBE-GGA)

Data for a relaxed Tb4Te3C crystal.

Results
Total DFT energy (no corrections) (Ry per atom): -0.4086
Energy relative to the elements, uncorrected (eV/atom): -0.91
E above lowest polymorph (kJ per mole of atoms): 16.5
Size of the total moment (Bohr magnetons per cell): 0.00

Lattice parameters (Å, degrees): 5.991 7.945 10.391 90.00 90.00 90.00
Positions (direct):
1 Te 0.065 0.652 0.740
2 Te 0.575 0.750 0.000
3 Te 0.565 0.348 0.760
4 C 0.999 0.137 0.000
5 Te 0.565 0.348 0.240
6 C 0.499 0.863 0.500
7 Tb 0.065 0.242 0.795
8 Te 0.065 0.652 0.260
9 Tb 0.605 0.135 0.000
10 Tb 0.576 0.148 0.500
11 Tb 0.565 0.758 0.705
12 Tb 0.065 0.242 0.205
13 Tb 0.076 0.852 0.000
14 Tb 0.565 0.758 0.295
15 Tb 0.105 0.865 0.500
16 Te 0.075 0.250 0.500

---

(6)
## Na2CaNbF (PBE-GGA)

Data for a relaxed Na2CaNbF crystal.

Results
Total DFT energy (no corrections) (Ry per atom): -0.2585
Energy relative to the elements, uncorrected (eV/atom): -0.20
Size of the total moment (Bohr magnetons per cell): 3.52

Lattice parameters (Å, degrees): 4.969 4.822 4.969 90.00 90.00 90.00
Site moments in Bohr magnetons follow the coordinates.
Positions (direct):
1 Ca 0.500 0.500 0.500  0.09
2 F 0.000 0.000 0.000  0.05
3 Nb 0.000 0.500 0.000  2.37
4 Na 0.000 0.000 0.500  0.01
5 Na 0.500 0.000 0.000  0.01

---

(7)
## ZrCdPtO2 (PBE-GGA)

Data for a relaxed ZrCdPtO2 crystal.

Results
Total DFT energy (no corrections) (Ry per atom): -0.4507
Energy relative to the elements, uncorrected (eV/atom): -1.05
Size of the total moment (Bohr magnetons per cell): 0.00

Lattice parameters (Å, degrees): 3.979 7.483 3.979 90.00 90.00 90.00
Positions (direct):
1 Cd 0.000 0.500 0.000
2 O 0.500 0.000 0.000
3 Pt 0.500 0.500 0.500
4 Zr 0.000 0.000 0.000
5 O 0.000 0.000 0.500

---

(8)
## ScP2SBr (PBE-GGA)

Data for a relaxed ScP2SBr crystal.

Results
Total DFT energy (no corrections) (Ry per atom): -0.2824
Energy relative to the elements, uncorrected (eV/atom): 0.75
E above lowest polymorph (kJ per mole of atoms): 42.9
Size of the total moment (Bohr magnetons per cell): 0.00

Lattice parameters (Å, degrees): 4.829 4.829 4.648 90.00 90.00 90.00
Positions (direct):
1 P 0.000 0.500 0.000
2 Br 0.000 0.000 0.000
3 P 0.500 0.000 0.000
4 S 0.000 0.000 0.500
5 Sc 0.500 0.500 0.500

---

(9)
## Tl2CdOsO6 (PBE-GGA)

Data for a relaxed Tl2CdOsO6 crystal.

Results
Total DFT energy (no corrections) (Ry per atom): -0.3982
Energy relative to the elements, uncorrected (eV/atom): -0.75
Size of the total moment (Bohr magnetons per cell): 0.00

Lattice parameters (Å, degrees): 5.847 6.387 6.387 120.00 90.00 90.00
Positions (direct):
1 O 0.190 0.277 0.139
2 O 0.810 0.139 0.861
3 O 0.190 0.861 0.139
4 O 0.190 0.861 0.723
5 Tl 0.040 0.333 0.667
6 Cd 0.500 0.000 0.000
7 O 0.810 0.723 0.861
8 Tl 0.960 0.667 0.333
9 O 0.810 0.139 0.277
10 Os 0.000 0.000 0.000

---

(10)
## SbAuN3 (PBE-GGA)

Data for a relaxed SbAuN3 crystal.

Results
Total DFT energy (no corrections) (Ry per atom): -0.3399
Energy relative to the elements, uncorrected (eV/atom): 1.85
Size of the total moment (Bohr magnetons per cell): 2.98

Lattice parameters (Å, degrees): 4.073 4.073 4.073 90.00 90.00 90.00
Site moments in Bohr magnetons follow the coordinates.
Positions (direct):
1 N 0.500 0.000 0.000  0.64
2 N 0.000 0.000 0.500  0.59
3 N 0.000 0.500 0.000  0.78
4 Au 0.500 0.500 0.500  0.29
5 Sb 0.000 0.000 0.000  -0.05

---

(11)
## Cd10Hg6Pt (PBE-GGA)

Data for a relaxed Cd10Hg6Pt crystal.

Results
Total DFT energy (no corrections) (Ry per atom): -0.0728
Energy of formation (eV/atom): 0.0094
Size of the total moment (Bohr magnetons per cell): 0.00

Lattice parameters (Å, degrees): 5.791 8.923 8.923 120.00 90.00 90.00
Positions (direct):
1 Hg 0.263 0.606 0.606
2 Cd 0.500 0.667 0.333
3 Cd 0.217 0.000 0.755
4 Cd 0.783 0.755 0.755
5 Cd 0.217 0.245 0.245
6 Cd 0.783 0.245 0.000
7 Cd 0.000 0.667 0.333
8 Hg 0.263 0.000 0.394
9 Cd 0.000 0.333 0.667
10 Hg 0.263 0.394 0.000
11 Hg 0.737 0.606 0.000
12 Pt 0.500 0.000 0.000
13 Hg 0.737 0.394 0.394
14 Cd 0.500 0.333 0.667
15 Cd 0.217 0.755 0.000
16 Cd 0.783 0.000 0.245
17 Hg 0.737 0.000 0.606

---

(12)
## RbYP2O6 (PBE-GGA)

Data for a relaxed RbYP2O6 crystal.

Results
Total DFT energy (no corrections) (Ry per atom): -0.5406
Energy relative to the elements, uncorrected (eV/atom): -2.56
Size of the total moment (Bohr magnetons per cell): 0.00

Lattice parameters (Å, degrees): 6.758 6.758 10.985 111.77 111.77 110.21
Positions (direct):
1 O 0.707 0.795 0.268
2 Rb 0.166 0.834 0.250
3 O 0.205 0.293 0.232
4 O 0.972 0.486 0.310
5 P 0.691 0.934 0.183
6 P 0.309 0.066 0.817
7 O 0.795 0.707 0.768
8 Y 0.419 0.581 0.750
9 O 0.293 0.205 0.732
10 O 0.486 0.972 0.810
11 O 0.028 0.514 0.690
12 O 0.514 0.028 0.190
13 O 0.381 0.233 0.986
14 O 0.619 0.767 0.014
15 Rb 0.834 0.166 0.750
16 O 0.767 0.619 0.514
17 P 0.066 0.309 0.317
18 O 0.233 0.381 0.486
19 P 0.934 0.691 0.683
20 Y 0.581 0.419 0.250

---

Question: Number 10 is which compound?
Answer: SbAuN3